Record 1
Tb7YSc2: optimized geometry, PBE.

Output
The calculation puts the formation energy from the elements at 0.49 eV per formula unit. The calculation puts the total energy at -5.105 eV/atom.

abc: 3.476 11.688 8.449
angles: 110.58 78.08 81.52
Atoms (fractional coordinates):
Tb 0.088 0.624 0.199
Tb 0.912 0.376 0.801
Tb 0.694 0.198 0.414
Tb 0.306 0.802 0.586
Tb 0.295 0.292 0.119
Tb 0.705 0.708 0.881
Tb 0.500 0.500 0.500
Y 0.000 0.000 0.000
Sc 0.381 0.926 0.310
Sc 0.619 0.074 0.690



Record 2
CsCd3Rh: optimized geometry, PBE.

Output
The calculation puts the formation energy from the elements at 0.58 eV per formula unit. The calculation puts the total energy at -2.073 eV/atom.

abc: 7.829 7.829 5.411
angles: 90.00 90.00 119.16
Atoms (fractional coordinates):
Cs 0.422 0.578 0.250
Cs 0.578 0.422 0.750
Rh 0.178 0.822 0.250
Rh 0.822 0.178 0.750
Cd 0.929 0.419 0.250
Cd 0.581 0.071 0.250
Cd 0.419 0.929 0.750
Cd 0.071 0.581 0.750
Cd 0.000 0.000 0.000
Cd 0.000 0.000 0.500



Record 3
PRh4W: optimized geometry, PBE.

Output
The calculation puts the formation energy from the elements at 3.21 eV per formula unit. The calculation puts the total energy at -7.426 eV/atom.

abc: 5.068 5.068 5.068
angles: 60.00 60.00 60.00
Atoms (fractional coordinates):
P 0.000 0.000 0.000
Rh 0.874 0.375 0.375
Rh 0.375 0.375 0.874
Rh 0.375 0.874 0.375
Rh 0.375 0.375 0.375
W 0.750 0.750 0.750



Record 4
Sc2Pt2I: optimized geometry, PBE.

Output
The calculation puts the total energy at -6.122 eV/atom. The value obtained for the formation energy from raw total energies is -4.31 eV per formula unit.

abc: 7.738 7.738 3.459
angles: 90.00 90.00 90.00
Atoms (fractional coordinates):
I 0.000 0.000 0.000
I 0.500 0.500 0.000
Sc 0.156 0.656 0.500
Sc 0.656 0.844 0.500
Sc 0.844 0.344 0.500
Sc 0.344 0.156 0.500
Pt 0.370 0.870 0.000
Pt 0.870 0.630 0.000
Pt 0.630 0.130 0.000
Pt 0.130 0.370 0.000



Record 5
PdSe2I: optimized geometry, PBE.

Output
The calculation puts the total energy at -3.531 eV/atom. The value obtained for the formation energy from raw total energies is -0.41 eV per formula unit.

abc: 6.119 11.480 6.447
angles: 90.00 90.00 90.00
Atoms (fractional coordinates):
I 0.027 0.888 0.045
I 0.973 0.112 0.545
I 0.473 0.388 0.545
I 0.527 0.612 0.045
Se 0.540 0.039 0.109
Se 0.460 0.961 0.609
Se 0.960 0.539 0.609
Se 0.040 0.461 0.109
Se 0.706 0.815 0.501
Se 0.294 0.185 0.001
Se 0.794 0.315 0.001
Se 0.206 0.685 0.501
Pd 0.413 0.382 0.095
Pd 0.587 0.618 0.595
Pd 0.087 0.882 0.595
Pd 0.913 0.118 0.095



Record 6
Gd2TmHf: optimized geometry, PBE.

Output
The calculation puts the formation energy from the elements at 0.58 eV per formula unit. The calculation puts the total energy at -10.502 eV/atom.

abc: 4.816 4.847 4.847
angles: 90.00 90.00 90.00
Site moments in Bohr magnetons follow the coordinates.
Atoms (fractional coordinates):
Gd 0.000 0.000 0.500  7.08
Gd 0.000 0.500 0.000  7.08
Tm 0.500 0.500 0.500  -0.08
Hf 0.500 0.000 0.000  -0.17



Record 7
Dy2CdSn3: optimized geometry, PBE.

Output
The calculation puts the formation energy from the elements at -1.47 eV per formula unit. The calculation puts the total energy at -3.933 eV/atom.

abc: 5.847 8.041 8.041
angles: 113.21 90.00 90.00
Atoms (fractional coordinates):
Dy 0.750 0.450 0.164
Dy 0.250 0.550 0.836
Dy 0.250 0.836 0.550
Dy 0.750 0.164 0.450
Cd 0.750 0.911 0.911
Cd 0.250 0.089 0.089
Sn 0.250 0.413 0.413
Sn 0.750 0.587 0.587
Sn 0.500 0.192 0.808
Sn 0.000 0.192 0.808
Sn 0.500 0.808 0.192
Sn 0.000 0.808 0.192



Record 8
Nb2TeO8: optimized geometry, PBE.

Output
The calculation puts the total energy at -7.476 eV/atom. The value obtained for the formation energy from raw total energies is -19.29 eV per formula unit.

abc: 10.483 10.483 5.259
angles: 87.98 87.98 33.71
Atoms (fractional coordinates):
Nb 0.308 0.958 0.775
Nb 0.042 0.692 0.725
Nb 0.692 0.042 0.225
Nb 0.958 0.308 0.275
Te 0.651 0.349 0.750
Te 0.349 0.651 0.250
O 0.205 0.911 0.090
O 0.089 0.795 0.410
O 0.795 0.089 0.910
O 0.911 0.205 0.590
O 0.449 0.655 0.572
O 0.345 0.551 0.928
O 0.551 0.345 0.428
O 0.655 0.449 0.072
O 0.252 0.077 0.443
O 0.923 0.748 0.057
O 0.800 0.570 0.369
O 0.430 0.200 0.131
O 0.200 0.430 0.631
O 0.570 0.800 0.869
O 0.077 0.252 0.943
O 0.748 0.923 0.557



Record 9
Na5NpSe5: optimized geometry, PBE.

Output
The calculation puts the total energy at -4.426 eV/atom. The value obtained for the formation energy from raw total energies is -11.72 eV per formula unit.

abc: 5.715 7.499 8.272
angles: 106.84 90.00 112.40
Site moments in Bohr magnetons follow the coordinates.
Atoms (fractional coordinates):
Na 0.692 0.385 0.323  0.00
Na 0.683 0.366 0.862  0.00
Na 0.000 0.000 0.500  0.00
Na 0.317 0.634 0.138  0.00
Na 0.308 0.615 0.677  0.00
Np 0.000 0.000 0.000  2.81
Se 0.858 0.717 0.170  -0.10
Se 0.847 0.695 0.689  -0.11
Se 0.500 0.000 0.000  -0.12
Se 0.153 0.305 0.311  -0.11
Se 0.142 0.283 0.830  -0.10



Record 10
TiV2B2: optimized geometry, PBE.

Output
The calculation puts the formation energy from the elements at 0.29 eV per formula unit. The calculation puts the total energy at -7.840 eV/atom.

abc: 4.040 4.583 6.622
angles: 110.24 90.00 90.00
Atoms (fractional coordinates):
Ti 0.000 0.000 0.000
Ti 0.500 0.000 0.000
V 0.750 0.374 0.749
V 0.750 0.783 0.566
V 0.250 0.626 0.251
V 0.250 0.217 0.434
B 0.750 0.349 0.309
B 0.250 0.040 0.691
B 0.250 0.651 0.691
B 0.750 0.960 0.309



Record 11
SrLi3Rh4O12: optimized geometry, PBE.

Output
The calculation puts the total energy at -5.956 eV/atom. The value obtained for the formation energy from raw total energies is -22.79 eV per formula unit.

abc: 6.514 6.514 6.514
angles: 109.47 109.47 109.47
Site moments in Bohr magnetons follow the coordinates.
Atoms (fractional coordinates):
Sr 0.000 0.000 0.000  0.00
Li 0.000 0.500 0.500  0.00
Li 0.500 0.500 0.000  0.00
Li 0.500 0.000 0.500  0.00
Rh 0.500 0.000 0.000  0.63
Rh 0.500 0.500 0.500  0.63
Rh 0.000 0.500 0.000  0.63
Rh 0.000 0.000 0.500  0.63
O 0.306 0.820 0.126  0.19
O 0.694 0.180 0.874  0.19
O 0.694 0.820 0.514  0.19
O 0.874 0.694 0.180  0.19
O 0.820 0.126 0.306  0.19
O 0.180 0.486 0.306  0.19
O 0.486 0.306 0.180  0.19
O 0.180 0.874 0.694  0.19
O 0.306 0.180 0.486  0.19
O 0.126 0.306 0.820  0.19
O 0.820 0.514 0.694  0.19
O 0.514 0.694 0.820  0.19



Record 12
AgTe2Mo: optimized geometry, PBE.

Output
The calculation puts the total energy at -4.157 eV/atom. The value obtained for the formation energy from raw total energies is 3.34 eV per formula unit.

abc: 5.084 5.084 5.084
angles: 60.00 60.00 60.00
Site moments in Bohr magnetons follow the coordinates.
Atoms (fractional coordinates):
Ag 0.500 0.500 0.500  0.06
Mo 0.250 0.250 0.250  2.67
Te 0.000 0.000 0.000  -0.14
Te 0.750 0.750 0.750  -0.06



What is the formula in the sixth record? Gd2TmHf